<a>
VASP calculation (GGA-PBE) on an optimized crystal structure of PmHoErTh. Values from VASP.

```
&SYSTEM
  ibrav = 0, nat = 12, ntyp = 4
/
ATOMIC_SPECIES
Pm 145.00 Pm.upf
Ho 164.93 Ho.upf
Er 167.26 Er.upf
Th 232.04 Th.upf
CELL_PARAMETERS angstrom
3.587 0.000 0.000
-1.793 3.106 0.000
0.000 0.000 34.485
ATOMIC_POSITIONS crystal
Pm 0.000 0.000 0.000
Pm 0.333 0.667 0.667
Pm 0.667 0.333 0.333
Ho 0.000 0.000 0.248
Ho 0.333 0.667 0.915
Ho 0.667 0.333 0.581
Er 0.000 0.000 0.419
Er 0.333 0.667 0.086
Er 0.667 0.333 0.753
Th 0.000 0.000 0.834
Th 0.333 0.667 0.500
Th 0.667 0.333 0.167
```

<b>
VASP calculation (GGA-PBE) on an optimized crystal structure of PmHoErTh. Values from VASP.

```
&SYSTEM
  ibrav = 0, nat = 16, ntyp = 4
/
ATOMIC_SPECIES
Pm 145.00 Pm.upf
Ho 164.93 Ho.upf
Er 167.26 Er.upf
Th 232.04 Th.upf
CELL_PARAMETERS angstrom
8.033 0.000 0.000
0.000 8.033 0.000
0.000 0.000 8.033
ATOMIC_POSITIONS crystal
Pm 0.000 0.000 0.000
Pm 0.000 0.500 0.500
Pm 0.500 0.000 0.500
Pm 0.500 0.500 0.000
Ho 0.000 0.000 0.500
Ho 0.000 0.500 0.000
Ho 0.500 0.000 0.000
Ho 0.500 0.500 0.500
Er 0.250 0.250 0.750
Er 0.250 0.750 0.250
Er 0.750 0.250 0.250
Er 0.750 0.750 0.750
Th 0.250 0.250 0.250
Th 0.250 0.750 0.750
Th 0.750 0.250 0.750
Th 0.750 0.750 0.250
```

What are the relative energies? In kJ/mol of atoms: <a> 0.0; <b> 16.8.

<a>
VASP calculation (GGA-PBE) on an optimized crystal structure of PmHoErTm. Values from VASP.

```
&SYSTEM
  ibrav = 0, nat = 12, ntyp = 4
/
ATOMIC_SPECIES
Pm 145.00 Pm.upf
Ho 164.93 Ho.upf
Er 167.26 Er.upf
Tm 168.93 Tm.upf
CELL_PARAMETERS angstrom
3.563 0.000 0.000
-1.781 3.086 0.000
0.000 0.000 34.355
ATOMIC_POSITIONS crystal
Pm 0.000 0.000 0.000
Pm 0.333 0.667 0.667
Pm 0.667 0.333 0.333
Ho 0.000 0.000 0.166
Ho 0.333 0.667 0.833
Ho 0.667 0.333 0.500
Er 0.000 0.000 0.751
Er 0.333 0.667 0.418
Er 0.667 0.333 0.084
Tm 0.000 0.000 0.582
Tm 0.333 0.667 0.248
Tm 0.667 0.333 0.915
```

<b>
VASP calculation (GGA-PBE) on an optimized crystal structure of PmHoErTm. Values from VASP.

```
&SYSTEM
  ibrav = 0, nat = 16, ntyp = 4
/
ATOMIC_SPECIES
Pm 145.00 Pm.upf
Ho 164.93 Ho.upf
Er 167.26 Er.upf
Tm 168.93 Tm.upf
CELL_PARAMETERS angstrom
7.987 0.000 0.000
0.000 7.987 0.000
0.000 0.000 7.987
ATOMIC_POSITIONS crystal
Pm 0.000 0.000 0.000
Pm 0.000 0.500 0.500
Pm 0.500 0.000 0.500
Pm 0.500 0.500 0.000
Ho 0.000 0.000 0.500
Ho 0.000 0.500 0.000
Ho 0.500 0.000 0.000
Ho 0.500 0.500 0.500
Er 0.250 0.250 0.750
Er 0.250 0.750 0.250
Er 0.750 0.250 0.250
Er 0.750 0.750 0.750
Tm 0.250 0.250 0.250
Tm 0.250 0.750 0.750
Tm 0.750 0.250 0.750
Tm 0.750 0.750 0.250
```

What are the relative energies? In kJ/mol of atoms: <a> 0.0; <b> 10.0.

<a>
VASP calculation (GGA-PBE) on an optimized crystal structure of Pr5HoEr2. Values from VASP.

```
&SYSTEM
  ibrav = 0, nat = 16, ntyp = 3
/
ATOMIC_SPECIES
Pr 140.91 Pr.upf
Ho 164.93 Ho.upf
Er 167.26 Er.upf
CELL_PARAMETERS angstrom
-4.641 4.641 6.400
4.641 -4.641 6.400
4.641 4.641 -6.400
ATOMIC_POSITIONS crystal
Pr 0.000 0.000 0.000
Pr 0.014 0.514 0.200
Pr 0.186 0.986 0.500
Pr 0.314 0.814 0.800
Pr 0.486 0.686 0.500
Pr 0.500 0.500 0.000
Pr 0.514 0.314 0.500
Pr 0.686 0.186 0.200
Pr 0.814 0.014 0.500
Pr 0.986 0.486 0.800
Ho 0.250 0.250 0.000
Ho 0.750 0.750 0.000
Er 0.145 0.355 0.500
Er 0.355 0.855 0.209
Er 0.645 0.145 0.791
Er 0.855 0.645 0.500
```

<b>
VASP calculation (GGA-PBE) on an optimized crystal structure of Pr5HoEr2. Values from VASP.

```
&SYSTEM
  ibrav = 0, nat = 16, ntyp = 3
/
ATOMIC_SPECIES
Pr 140.91 Pr.upf
Ho 164.93 Ho.upf
Er 167.26 Er.upf
CELL_PARAMETERS angstrom
7.350 -6.094 0.000
7.350 6.094 0.000
-2.722 0.000 6.165
ATOMIC_POSITIONS crystal
Pr 0.116 0.633 0.118
Pr 0.239 0.761 0.750
Pr 0.247 0.274 0.791
Pr 0.274 0.247 0.291
Pr 0.367 0.884 0.382
Pr 0.633 0.116 0.618
Pr 0.726 0.753 0.709
Pr 0.753 0.726 0.209
Pr 0.761 0.239 0.250
Pr 0.884 0.367 0.882
Ho 0.492 0.508 0.250
Ho 0.508 0.492 0.750
Er 0.000 0.000 0.000
Er 0.000 0.000 0.500
Er 0.000 0.500 0.500
Er 0.500 0.000 0.000
```

What are the relative energies? In kJ/mol of atoms: <a> 0.0; <b> 8.8.

<a>
VASP calculation (GGA-PBE) on an optimized crystal structure of PrHo4Er4. Values from VASP.

```
&SYSTEM
  ibrav = 0, nat = 9, ntyp = 3
/
ATOMIC_SPECIES
Pr 140.91 Pr.upf
Ho 164.93 Ho.upf
Er 167.26 Er.upf
CELL_PARAMETERS angstrom
-5.311 5.311 2.494
5.311 -5.311 2.494
5.311 5.311 -2.494
ATOMIC_POSITIONS crystal
Pr 0.000 0.000 0.000
Ho 0.000 0.334 0.334
Ho 0.000 0.666 0.666
Ho 0.334 0.000 0.334
Ho 0.666 0.000 0.666
Er 0.332 0.332 0.664
Er 0.332 0.668 0.000
Er 0.668 0.332 0.000
Er 0.668 0.668 0.336
```

<b>
VASP calculation (GGA-PBE) on an optimized crystal structure of PrHo4Er4. Values from VASP.

```
&SYSTEM
  ibrav = 0, nat = 18, ntyp = 3
/
ATOMIC_SPECIES
Pr 140.91 Pr.upf
Ho 164.93 Ho.upf
Er 167.26 Er.upf
CELL_PARAMETERS angstrom
6.716 0.000 0.000
2.050 8.360 0.000
2.768 1.566 10.118
ATOMIC_POSITIONS crystal
Pr 0.241 0.468 0.216
Pr 0.759 0.532 0.784
Ho 0.087 0.162 0.461
Ho 0.380 0.834 0.630
Ho 0.388 0.840 0.961
Ho 0.392 0.838 0.297
Ho 0.608 0.162 0.703
Ho 0.612 0.160 0.039
Ho 0.620 0.166 0.370
Ho 0.913 0.838 0.539
Er 0.079 0.168 0.792
Er 0.083 0.163 0.124
Er 0.245 0.479 0.546
Er 0.247 0.477 0.880
Er 0.753 0.523 0.120
Er 0.755 0.521 0.454
Er 0.917 0.837 0.876
Er 0.921 0.832 0.208
```

What are the relative energies? In kJ/mol of atoms: <a> 0.0; <b> 1.4.

<a>
VASP calculation (GGA-PBE) on an optimized crystal structure of Pr4Ho5Er. Values from VASP.

```
&SYSTEM
  ibrav = 0, nat = 10, ntyp = 3
/
ATOMIC_SPECIES
Pr 140.91 Pr.upf
Ho 164.93 Ho.upf
Er 167.26 Er.upf
CELL_PARAMETERS angstrom
8.585 -1.768 0.000
8.585 1.768 0.000
-0.010 0.000 11.339
ATOMIC_POSITIONS crystal
Pr 0.032 0.032 0.250
Pr 0.341 0.341 0.250
Pr 0.659 0.659 0.750
Pr 0.968 0.968 0.750
Ho 0.173 0.173 0.048
Ho 0.173 0.173 0.451
Ho 0.500 0.500 0.500
Ho 0.827 0.827 0.549
Ho 0.827 0.827 0.952
Er 0.500 0.500 0.000
```

<b>
VASP calculation (GGA-PBE) on an optimized crystal structure of Pr4Ho5Er. Values from VASP.

```
&SYSTEM
  ibrav = 0, nat = 10, ntyp = 3
/
ATOMIC_SPECIES
Pr 140.91 Pr.upf
Ho 164.93 Ho.upf
Er 167.26 Er.upf
CELL_PARAMETERS angstrom
-5.363 5.363 2.983
5.363 -5.363 2.983
5.363 5.363 -2.983
ATOMIC_POSITIONS crystal
Pr 0.000 0.323 0.323
Pr 0.000 0.677 0.677
Pr 0.323 0.000 0.323
Pr 0.677 0.000 0.677
Ho 0.243 0.243 0.000
Ho 0.317 0.317 0.624
Ho 0.317 0.693 0.000
Ho 0.693 0.317 0.000
Ho 0.693 0.693 0.376
Er 0.765 0.765 0.000
```

What are the relative energies? In kJ/mol of atoms: <a> 0.0; <b> 4.0.

<a>
VASP calculation (GGA-PBE) on an optimized crystal structure of PrHo2Er4. Values from VASP.

```
&SYSTEM
  ibrav = 0, nat = 14, ntyp = 3
/
ATOMIC_SPECIES
Pr 140.91 Pr.upf
Ho 164.93 Ho.upf
Er 167.26 Er.upf
CELL_PARAMETERS angstrom
6.075 0.000 0.000
0.000 6.535 0.000
-2.795 0.000 11.114
ATOMIC_POSITIONS crystal
Pr 0.046 0.250 0.365
Pr 0.954 0.750 0.635
Ho 0.154 0.250 0.951
Ho 0.396 0.750 0.509
Ho 0.604 0.250 0.491
Ho 0.846 0.750 0.049
Er 0.147 0.250 0.666
Er 0.284 0.750 0.923
Er 0.346 0.508 0.211
Er 0.346 0.992 0.211
Er 0.654 0.008 0.789
Er 0.654 0.492 0.789
Er 0.716 0.250 0.077
Er 0.853 0.750 0.334
```

<b>
VASP calculation (GGA-PBE) on an optimized crystal structure of PrHo2Er4. Values from VASP.

```
&SYSTEM
  ibrav = 0, nat = 14, ntyp = 3
/
ATOMIC_SPECIES
Pr 140.91 Pr.upf
Ho 164.93 Ho.upf
Er 167.26 Er.upf
CELL_PARAMETERS angstrom
16.547 0.000 0.000
0.000 3.513 0.000
-4.267 0.000 7.591
ATOMIC_POSITIONS crystal
Pr 0.000 0.000 0.000
Pr 0.500 0.500 0.000
Ho 0.070 0.000 0.430
Ho 0.430 0.500 0.570
Ho 0.570 0.500 0.430
Ho 0.930 0.000 0.570
Er 0.143 0.500 0.833
Er 0.206 0.500 0.295
Er 0.294 0.000 0.705
Er 0.357 0.000 0.167
Er 0.643 0.000 0.833
Er 0.706 0.000 0.295
Er 0.794 0.500 0.705
Er 0.857 0.500 0.167
```

What are the relative energies? In kJ/mol of atoms: <a> 8.9; <b> 0.0.